# In2AsIr SCAN single point on PBEsol structure
data_In2AsIr
_cell_length_a 3.961
_cell_length_b 4.088
_cell_length_c 5.203
_cell_angle_alpha 90.00
_cell_angle_beta 112.38
_cell_angle_gamma 90.00
_symmetry_space_group_name_H-M 'P 1'
_symmetry_Int_Tables_number 1
loop_
_symmetry_equiv_pos_as_xyz
'x,y,z'
loop_
_atom_site_label
_atom_site_fract_x
_atom_site_fract_y
_atom_site_fract_z
In1 0.390 0.500 0.780
In2 0.099 0.000 0.198
As1 0.670 0.500 0.340
Ir1 0.817 0.000 0.634
# **Formation enthalpy at 0 K**: -0.110 eV/atom
# **Space group**: Amm2, No. 38
# **Total DFT energy (no corrections)**: -158.50 eV/cell